# MgOsBr

MgOsBr after structural relaxation (PBE-GGA, the Alexandria database).

Summary:
- E_form (uncorrected) (kJ per mole of atoms) = 65
- distance to the lowest polymorph of the same formula (meV/atom) = 125.4

Cell lengths 6.783, 6.783, 6.783 Å; angles 156.09, 142.61, 44.87 degrees
Fractional positions:
Br (0.983, 0.983, 0.000)
Mg (0.223, 0.223, 0.000)
Os (0.794, 0.794, 0.000)